Entry 1:
A plane-wave DFT calculation with PBE was carried out for an optimized crystal structure of Cd2AsSe.

Calculated values
Size of the total moment ... 0.00 μB/cell
Symmetry ... No. 139
DFT total energy ... -2.32 eV/atom
DOS(E_F) ... 0.606 states/eV/atom
Volume ... 88.1 Å³/cell
Uncorrected formation energy ... 3.84 kcal/mol of atoms

a b c (Å): 5.160 5.160 5.160
angles (deg): 125.32 125.32 81.02
Element x y z (fractional)
Cd 0.000 0.000 0.000
Se 0.250 0.750 0.500
Cd 0.500 0.500 0.000
As 0.750 0.250 0.500


Entry 2:
A plane-wave DFT calculation with PBE was carried out for an optimized crystal structure of Na4UPa3N8.

Calculated values
Size of the total moment ... 1.05 μB/cell
Symmetry ... No. 166
DFT total energy ... -8.17 eV/atom
Volume ... 251.2 Å³/cell
Uncorrected formation energy ... -27.53 kcal/mol of atoms

a b c (Å): 7.143 7.026 7.143
angles (deg): 120.59 120.00 90.00
Last column: magnetic moment on the atom in μB.
Element x y z (fractional)
Pa 0.000 0.500 0.500  0.02
N 0.273 0.320 0.547  0.00
N 0.775 0.319 0.550  -0.02
Na 0.500 0.000 0.500  0.00
U 0.000 0.500 0.000  1.03
Pa 0.500 0.500 0.500  0.02
Pa 0.500 0.500 0.000  0.02
Na 0.000 0.000 0.000  0.00
N 0.225 0.681 0.450  -0.02
N 0.775 0.319 0.043  -0.02
N 0.731 0.681 0.957  -0.02
Na 0.500 0.000 0.000  0.00
N 0.225 0.681 0.957  -0.02
N 0.269 0.319 0.043  -0.02
N 0.727 0.680 0.453  0.00
Na 0.000 0.000 0.500  0.00


Entry 3:
A plane-wave DFT calculation with PBE was carried out for an optimized crystal structure of Tm6TcPb2.

Calculated values
Size of the total moment ... 0.00 μB/cell
Symmetry ... No. 189
DFT total energy ... -5.31 eV/atom
DOS(E_F) ... 1.083 states/eV/atom
Volume ... 244.9 Å³/cell

a b c (Å): 4.353 8.059 8.060
angles (deg): 120.00 90.00 90.00
Element x y z (fractional)
Tm 0.000 0.239 0.000
Tm 0.500 0.394 0.394
Tm 0.500 0.606 0.000
Tm 0.500 0.000 0.606
Tm 0.000 0.761 0.761
Tc 0.500 0.000 0.000
Pb 0.000 0.333 0.667
Pb 0.000 0.667 0.333
Tm 0.000 0.000 0.239